# 1
{"formula": "ZrScTa2", "functional": "PBE", "state": "optimized geometry", "final_energy_ev_per_cell": -37.80, "relative_energy_ev_per_fu": 0.31, "spacegroup": "P2/m", "delta_e_f_ev_per_atom": 0.197, "lattice": [[2.930, 0.000, 0.000], [0.000, 4.963, 0.000], [-0.939, 0.000, 5.548]], "species": ["Zr", "Sc", "Ta", "Ta"], "fractional_positions": [[0.000, 0.000, 0.000], [0.500, 0.000, 0.500], [0.220, 0.500, 0.761], [0.780, 0.500, 0.239]]}

***

# 2
{"formula": "ZrScTa", "functional": "PBE", "state": "optimized geometry", "final_energy_ev_per_cell": -52.33, "relative_energy_ev_per_fu": 0.31, "spacegroup": "I4/mmm", "delta_e_f_ev_per_atom": 0.189, "lattice": [[-1.633, 1.633, 13.139], [1.633, -1.633, 13.139], [1.633, 1.633, -13.139]], "species": ["Zr", "Zr", "Sc", "Sc", "Ta", "Ta"], "fractional_positions": [[0.146, 0.146, 0.000], [0.854, 0.854, 0.000], [0.437, 0.437, 0.000], [0.563, 0.563, 0.000], [0.279, 0.279, 0.000], [0.721, 0.721, 0.000]]}

***

# 3
{"formula": "ZrScTa", "functional": "PBE", "state": "optimized geometry", "final_energy_ev_per_cell": -52.80, "relative_energy_ev_per_fu": 0.08, "spacegroup": "Ima2", "delta_e_f_ev_per_atom": 0.111, "lattice": [[-2.924, 2.784, 3.997], [2.924, -2.784, 3.997], [2.924, 2.784, -3.997]], "species": ["Zr", "Zr", "Sc", "Sc", "Ta", "Ta"], "fractional_positions": [[0.096, 0.250, 0.346], [0.904, 0.750, 0.654], [0.550, 0.897, 0.154], [0.743, 0.397, 0.846], [0.319, 0.319, 0.000], [0.319, 0.819, 0.500]]}

***

# 4
{"formula": "ZrScTa", "functional": "PBE", "state": "optimized geometry", "final_energy_ev_per_cell": -26.31, "relative_energy_ev_per_fu": 0.17, "spacegroup": "Fmm2", "delta_e_f_ev_per_atom": 0.140, "lattice": [[0.000, 2.258, 7.309], [1.967, 0.000, 7.309], [1.967, 2.258, 0.000]], "species": ["Zr", "Sc", "Ta"], "fractional_positions": [[0.000, 0.000, 0.000], [0.307, 0.307, 0.693], [0.654, 0.654, 0.346]]}

***

# 5
{"formula": "ZrScTa2", "functional": "PBE", "state": "optimized geometry", "final_energy_ev_per_cell": -37.33, "relative_energy_ev_per_fu": 0.79, "spacegroup": "Fm-3m", "delta_e_f_ev_per_atom": 0.314, "lattice": [[0.000, 3.435, 3.435], [3.435, 0.000, 3.435], [3.435, 3.435, 0.000]], "species": ["Zr", "Sc", "Ta", "Ta"], "fractional_positions": [[0.000, 0.000, 0.000], [0.500, 0.500, 0.500], [0.250, 0.250, 0.250], [0.750, 0.750, 0.750]]}

***

# 6
{"formula": "ZrScTa2", "functional": "PBE", "state": "optimized geometry", "final_energy_ev_per_cell": -71.06, "relative_energy_ev_per_fu": 2.58, "spacegroup": "I-42d", "delta_e_f_ev_per_atom": 0.764, "lattice": [[-3.839, 3.839, 2.870], [3.839, -3.839, 2.870], [3.839, 3.839, -2.870]], "species": ["Zr", "Zr", "Sc", "Sc", "Ta", "Ta", "Ta", "Ta"], "fractional_positions": [[0.000, 0.000, 0.000], [0.750, 0.250, 0.500], [0.250, 0.750, 0.500], [0.500, 0.500, 0.000], [0.127, 0.625, 0.002], [0.375, 0.377, 0.502], [0.623, 0.125, 0.998], [0.875, 0.873, 0.498]]}

***

# 7
{"formula": "ZrScTa", "functional": "PBE", "state": "optimized geometry", "final_energy_ev_per_cell": -26.32, "relative_energy_ev_per_fu": 0.15, "spacegroup": "I4mm", "delta_e_f_ev_per_atom": 0.137, "lattice": [[-1.502, 1.502, 7.237], [1.502, -1.502, 7.237], [1.502, 1.502, -7.237]], "species": ["Zr", "Sc", "Ta"], "fractional_positions": [[0.000, 0.000, 0.000], [0.307, 0.307, 0.000], [0.655, 0.655, 0.000]]}

***

# 8
{"formula": "ZrScTa", "functional": "PBE", "state": "optimized geometry", "final_energy_ev_per_cell": -26.19, "relative_energy_ev_per_fu": 0.29, "spacegroup": "Imm2", "delta_e_f_ev_per_atom": 0.181, "lattice": [[-1.505, 2.284, 4.647], [1.505, -2.284, 4.647], [1.505, 2.284, -4.647]], "species": ["Zr", "Sc", "Ta"], "fractional_positions": [[0.000, 0.000, 0.000], [0.676, 0.676, 0.000], [0.340, 0.340, 0.000]]}

***

# 9
{"formula": "ZrScTa3", "functional": "PBE", "state": "optimized geometry", "final_energy_ev_per_cell": -42.66, "relative_energy_ev_per_fu": 0.00, "spacegroup": "Pm-3m", "delta_e_f_ev_per_atom": 1.556, "lattice": [[4.922, 0.000, 0.000], [0.000, 4.922, 0.000], [0.000, 0.000, 4.922]], "species": ["Zr", "Sc", "Ta", "Ta", "Ta"], "fractional_positions": [[0.000, 0.000, 0.000], [0.500, 0.500, 0.500], [0.000, 0.000, 0.500], [0.000, 0.500, 0.000], [0.500, 0.000, 0.000]]}

***

# 10
{"formula": "ZrScTa2", "functional": "PBE", "state": "optimized geometry", "final_energy_ev_per_cell": -37.83, "relative_energy_ev_per_fu": 0.28, "spacegroup": "Imm2", "delta_e_f_ev_per_atom": 0.188, "lattice": [[-1.739, 2.477, 4.798], [1.739, -2.477, 4.798], [1.739, 2.477, -4.798]], "species": ["Zr", "Sc", "Ta", "Ta"], "fractional_positions": [[0.000, 0.000, 0.000], [0.269, 0.769, 0.500], [0.532, 0.532, 0.000], [0.741, 0.241, 0.500]]}

***

What did the tenth record say?
{"formula": "ZrScTa2", "functional": "PBE", "state": "optimized geometry", "final_energy_ev_per_cell": -37.83, "relative_energy_ev_per_fu": 0.28, "spacegroup": "Imm2", "delta_e_f_ev_per_atom": 0.188, "lattice": [[-1.739, 2.477, 4.798], [1.739, -2.477, 4.798], [1.739, 2.477, -4.798]], "species": ["Zr", "Sc", "Ta", "Ta"], "fractional_positions": [[0.000, 0.000, 0.000], [0.269, 0.769, 0.500], [0.532, 0.532, 0.000], [0.741, 0.241, 0.500]]}